# 1
K2MnCoO4: optimized geometry, GGA+U.

## Properties
Uncorrected energy, eV/atom: -5.66
Fermi-level density of states, states/eV/cell: 0.00
Total moment, μB per formula unit: 6.056

a b c (Å): 5.512 11.196 22.912
angles (deg): 90.00 90.00 90.00
Space group Fddd (No. 70, origin choice 2)
Asymmetric unit:
1 K 0.125 0.125 0.278 [16 per cell]
2 Mn 0.125 0.125 0.125 [8 per cell]
3 Co 0.125 0.125 0.625 [8 per cell]
4 O 0.118 0.350 0.929 [32 per cell]

---

# 2
LiV3O: optimized geometry, GGA+U.

## Properties
Fermi-level density of states, states/eV/cell: 4.41
Total moment, μB per formula unit: 10.501
ΔE to the lowest computed polymorph, meV per atom: 1626

a b c (Å): 4.526 4.526 4.526
angles (deg): 90.00 90.00 90.00
Space group Pm-3m (No. 221)
Asymmetric unit:
1 Li 0.000 0.000 0.000 [1 per cell]
2 V 0.000 0.000 0.500 [3 per cell]
3 O 0.500 0.500 0.500 [1 per cell]

---

> Which of these has the highest Fermi-level density of states?

LiV3O

---

> Look up the total moment of the first one.

6.056 μB per formula unit